This record from the Alexandria database describes a relaxed structure of YV2Pd9. The functional is PBE.

Calculated values
Energy, eV per atom: -6.380
Calculated formation energy, eV/atom: -0.427
Total moment, μB/atom: 0.15
Symmetry: P4/mmm (123)

Cell lengths 3.978, 3.978, 11.920 Å; angles 90.00, 90.00, 90.00 degrees
Site moments in Bohr magnetons follow the coordinates.
Fractional coordinates of all 12 atoms:
Y1 0.000 0.000 0.000  -0.02
V1 0.000 0.000 0.337  1.12
V2 0.000 0.000 0.663  1.12
Pd1 0.500 0.500 0.000  -0.02
Pd2 0.500 0.500 0.341  -0.09
Pd3 0.500 0.500 0.659  -0.09
Pd4 0.500 0.000 0.183  -0.04
Pd5 0.500 0.000 0.500  -0.07
Pd6 0.500 0.000 0.817  -0.04
Pd7 0.000 0.500 0.183  -0.04
Pd8 0.000 0.500 0.500  -0.07
Pd9 0.000 0.500 0.817  -0.04